A) First-principles (PBE-GGA) data for a relaxed structure of Ac2Al3Cu, as listed in Alexandria.

Cell: 4.442 4.659 7.746 Å, 90.00 90.00 90.00°
Space group Pmm2 (No. 25)
Symmetry-distinct sites (fractional):
Ac 0.000 0.000 0.000
Ac 0.500 0.000 0.497
Al 0.000 0.500 0.325
Al 0.000 0.500 0.665
Al 0.500 0.500 0.842
Cu 0.500 0.500 0.167



B) First-principles (PBE-GGA) data for a relaxed structure of Ac2Al3Cu, as listed in Alexandria.

Cell: 11.043 4.778 7.855 Å, 90.00 133.92 90.00°
Space group Cm (No. 8)
Symmetry-distinct sites (fractional):
Ac 0.000 0.000 0.000
Ac 0.002 0.500 0.599
Al 0.184 0.500 0.399
Al 0.308 0.000 0.010
Al 0.316 0.500 0.201
Cu 0.186 0.000 0.565



Stability ranking, top entry: B); the second entry is 8 meV/atom less favorable.



A) First-principles (PBE-GGA) data for a relaxed structure of AcAl2Cu2, as listed in Alexandria.

Cell: 6.407 6.391 5.822 Å, 90.00 121.88 90.00°
Space group C2/m (No. 12)
Symmetry-distinct sites (fractional):
Ac 0.000 0.000 0.000
Al 0.122 0.500 0.275
Cu 0.000 0.227 0.500



B) First-principles (PBE-GGA) data for a relaxed structure of AcAl2Cu2, as listed in Alexandria.

Cell: 4.209 4.209 11.282 Å, 90.00 90.00 90.00°
Space group I4/mmm (No. 139)
Symmetry-distinct sites (fractional):
Ac 0.000 0.000 0.000
Al 0.000 0.500 0.250
Cu 0.000 0.000 0.379



Stability ranking, top entry: B); the second entry is 39 meV/atom less favorable.



A) First-principles (PBE-GGA) data for a relaxed structure of AcAlGaCu, as listed in Alexandria.

Cell: 7.083 7.083 7.083 Å, 90.00 90.00 90.00°
Space group F-43m (No. 216)
Symmetry-distinct sites (fractional):
Ac 0.000 0.000 0.000
Al 0.000 0.000 0.500
Ga 0.250 0.250 0.750
Cu 0.250 0.250 0.250



B) First-principles (PBE-GGA) data for a relaxed structure of AcAlGaCu, as listed in Alexandria.

Cell: 4.2497 4.2497 17.5261 Å, 90.00 90.00 120.00°
Space group R3m (No. 160, hexagonal axes)
Symmetry-distinct sites (fractional):
Ac 0.0000 0.0000 0.0000
Al 0.0000 0.0000 0.7973
Ga 0.0000 0.0000 0.2073
Cu 0.0000 0.0000 0.4990



Stability ranking, top entry: B); the second entry is 208 meV/atom less favorable.